[1]
First-principles (PBE-GGA) data for a geometry-optimized RbNb4O8 structure, as listed in Alexandria.

Values from the calculation:
V: 13.43 A^3/atom
DOS(E_F): 9.4 states/eV per cell
Magnetization: 0.0 μB/cell
Formation energy (no corrections): -2.31 eV per atom

Unit cell a=15.060 b=3.056 c=10.529 alpha=90.00 beta=133.90 gamma=90.00
Space group C2/m (No. 12)
One atom of each set of equivalent atoms:
Rb: 0.000 0.000 0.000 [2 per cell]
Nb: 0.161 0.500 0.806 [4 per cell]
Nb: 0.165 0.000 0.478 [4 per cell]
O: 0.036 0.000 0.707 [4 per cell]
O: 0.136 0.500 0.316 [4 per cell]
O: 0.159 0.500 0.619 [4 per cell]
O: 0.202 0.500 0.046 [4 per cell]

***

[2]
First-principles (PBE-GGA) data for a geometry-optimized Rb3NbO4 structure, as listed in Alexandria.

Values from the calculation:
V: 22.96 A^3/atom
DOS(E_F): 0.0 states/eV per cell
Magnetization: 0.4 μB/cell
Formation energy (no corrections): -2.13 eV per atom

Unit cell a=8.503 b=9.010 c=9.588 alpha=90.00 beta=90.00 gamma=90.00
Space group Pnma (No. 62)
One atom of each set of equivalent atoms:
Rb: 0.036 0.018 0.236 [8 per cell]
Rb: 0.189 0.750 0.503 [4 per cell]
Nb: 0.220 0.750 0.991 [4 per cell]
O: 0.012 0.750 0.059 [4 per cell]
O: 0.178 0.077 0.553 [8 per cell]
O: 0.218 0.750 0.793 [4 per cell]

***

[3]
First-principles (PBE-GGA) data for a geometry-optimized Rb2NbO structure, as listed in Alexandria.

Values from the calculation:
V: 42.22 A^3/atom
DOS(E_F): 11.7 states/eV per cell
Magnetization: 8.6 μB/cell
Formation energy (no corrections): -0.31 eV per atom

Unit cell a=12.971 b=12.971 c=4.016 alpha=90.00 beta=90.00 gamma=90.00
Space group I-42d (No. 122)
One atom of each set of equivalent atoms:
Rb: 0.065 0.250 0.125 [8 per cell]
Nb: 0.000 0.000 0.500 [4 per cell]
O: 0.000 0.000 0.000 [4 per cell]

***

[4]
First-principles (PBE-GGA) data for a geometry-optimized RbNbO2 structure, as listed in Alexandria.

Values from the calculation:
V: 13.42 A^3/atom
DOS(E_F): 1.3 states/eV per cell
Magnetization: 0.0 μB/cell
Formation energy (no corrections): -1.46 eV per atom

Unit cell a=2.840 b=2.840 c=6.652 alpha=90.00 beta=90.00 gamma=90.00
Space group P4/mmm (No. 123)
One atom of each set of equivalent atoms:
Rb: 0.000 0.000 0.000 [1 per cell]
Nb: 0.000 0.000 0.500 [1 per cell]
O: 0.500 0.500 0.317 [2 per cell]

***

[5]
First-principles (PBE-GGA) data for a geometry-optimized Rb2Nb3O9 structure, as listed in Alexandria.

Values from the calculation:
V: 22.24 A^3/atom
DOS(E_F): 2.8 states/eV per cell
Magnetization: 4.0 μB/cell
Formation energy (no corrections): -2.27 eV per atom

Unit cell a=9.677 b=15.865 c=9.200 alpha=90.00 beta=118.13 gamma=90.00
Space group C2/m (No. 12)
One atom of each set of equivalent atoms:
Rb: 0.091 0.157 0.304 [8 per cell]
Nb: 0.164 0.385 0.194 [8 per cell]
Nb: 0.194 0.500 0.883 [4 per cell]
O: 0.000 0.324 0.000 [4 per cell]
O: 0.017 0.417 0.769 [8 per cell]
O: 0.185 0.000 0.215 [4 per cell]
O: 0.216 0.192 0.654 [8 per cell]
O: 0.229 0.087 0.939 [8 per cell]
O: 0.239 0.500 0.291 [4 per cell]

***

[6]
First-principles (PBE-GGA) data for a geometry-optimized Rb4NbO4 structure, as listed in Alexandria.

Values from the calculation:
V: 29.67 A^3/atom
DOS(E_F): 4.0 states/eV per cell
Magnetization: 0.9 μB/cell
Formation energy (no corrections): -1.81 eV per atom

Unit cell a=7.400 b=7.400 c=9.754 alpha=90.00 beta=90.00 gamma=90.00
Space group P4_2/nmc (No. 137, origin choice 2)
One atom of each set of equivalent atoms:
Rb: 0.014 0.250 0.070 [8 per cell]
Nb: 0.250 0.750 0.250 [2 per cell]
O: 0.047 0.750 0.369 [8 per cell]

***

[7]
First-principles (PBE-GGA) data for a geometry-optimized RbNbO2 structure, as listed in Alexandria.

Values from the calculation:
V: 20.96 A^3/atom
DOS(E_F): 10.5 states/eV per cell
Magnetization: 1.3 μB/cell
Formation energy (no corrections): -1.65 eV per atom

Unit cell a=5.485 b=5.485 c=11.144 alpha=90.00 beta=90.00 gamma=90.00
Space group I-42d (No. 122)
One atom of each set of equivalent atoms:
Rb: 0.000 0.000 0.000 [4 per cell]
Nb: 0.000 0.000 0.500 [4 per cell]
O: 0.068 0.250 0.625 [8 per cell]

***

[8]
First-principles (PBE-GGA) data for a geometry-optimized RbNbO3 structure, as listed in Alexandria.

Values from the calculation:
V: 14.39 A^3/atom
DOS(E_F): 0.0 states/eV per cell
Magnetization: 0.0 μB/cell
Formation energy (no corrections): -2.37 eV per atom

Unit cell a=5.8685 b=5.8685 c=7.2386 alpha=90.00 beta=90.00 gamma=120.00
Space group R3m (No. 160, hexagonal axes)
One atom of each set of equivalent atoms:
Rb: 0.0000 0.0000 0.0000 [3 per cell]
Nb: 0.0000 0.0000 0.5180 [3 per cell]
O: 0.1706 0.3411 0.3142 [9 per cell]